A relaxed CsMgSn crystal. Source: Alexandria via LeMat-Bulk, functional GGA-PBE.

ΔE_f: -0.18 eV per atom
energy relative to the lowest polymorph listed for this composition: 0.000 eV per atom

Unit cell a=5.0688 b=5.0688 c=9.1978 alpha=90.00 beta=90.00 gamma=90.00
Last column: nearest neighbours and their distance in Å.
Space group P4/nmm (No. 129, origin choice 2)
Unique sites:
Cs1 0.2500 0.2500 0.1543 [2 per cell]  4 Sn 3.93, 4 Mg 4.07
Mg1 0.2500 0.7500 0.5000 [2 per cell]  4 Sn 2.99
Sn1 0.2500 0.2500 0.6716 [2 per cell]  4 Mg 2.99

=====

A relaxed YSeBr2 crystal. Source: Alexandria via LeMat-Bulk, functional GGA-PBE.

raw formation energy: -801.3 meV/atom
energy relative to the lowest polymorph listed for this composition: 0.564 eV per atom

Unit cell a=7.3074 b=7.3074 c=7.3074 alpha=90.00 beta=90.00 gamma=90.00
Last column: nearest neighbours and their distance in Å.
Space group Fm-3m (No. 225)
Unique sites:
Y1 0.0000 0.0000 0.0000 [4 per cell]  8 Br 3.16
Se1 0.0000 0.0000 0.5000 [4 per cell]  8 Br 3.16
Br1 0.2500 0.2500 0.2500 [8 per cell]  4 Se 3.16, 4 Y 3.16

=====

A relaxed NbReHgO6 crystal. Source: Alexandria via LeMat-Bulk, functional GGA-PBE.

raw formation energy: -1672.8 meV/atom

Unit cell a=7.3068 b=7.5038 c=10.5850 alpha=90.00 beta=90.00 gamma=90.00
Last column: nearest neighbours and their distance in Å.
Space group Imma (No. 74)
Unique sites:
Nb1 0.0000 0.0000 0.0000 [4 per cell]  6 O 1.97-2.02
Re1 0.2500 0.2500 0.2500 [4 per cell]  6 O 1.88-1.92
Hg1 0.0000 0.2500 0.6153 [4 per cell]  6 O 3.27-3.48
O1 0.0000 0.2500 0.3063 [4 per cell]  2 Re 1.92
O2 0.0000 0.2500 0.9437 [4 per cell]  2 Nb 1.97
O3 0.1863 0.0749 0.1312 [16 per cell]  1 Re 1.88, 1 Nb 2.02

=====

A relaxed FeHgAs2 crystal. Source: Alexandria via LeMat-Bulk, functional GGA-PBE.

ΔE_f: 0.54 eV per atom

Unit cell a=4.0006 b=4.0006 c=9.3237 alpha=90.00 beta=90.00 gamma=90.00
Last column: nearest neighbours and their distance in Å.
Space group I-4m2 (No. 119)
Unique sites:
Fe1 0.0000 0.0000 0.0000 [2 per cell]  8 As 2.83-3.07, 4 Hg 3.07
Hg1 0.0000 0.5000 0.7500 [2 per cell]  8 As 2.83-3.07, 4 Fe 3.07
As1 0.0000 0.0000 0.5000 [2 per cell]  4 Fe 2.83, 4 Hg 3.07, 4 As 3.07
As2 0.0000 0.5000 0.2500 [2 per cell]  4 Hg 2.83, 4 As 3.07, 4 Fe 3.07

=====

A relaxed Sm3EuMn crystal. Source: Alexandria via LeMat-Bulk, functional GGA-PBE.

ΔE_f: 0.21 eV per atom

Unit cell a=5.4580 b=5.4580 c=5.4580 alpha=90.00 beta=90.00 gamma=90.00
Last column: nearest neighbours and their distance in Å.
Space group Pm-3m (No. 221)
Unique sites:
Sm1 0.0000 0.0000 0.5000 [3 per cell]  2 Mn 2.73
Eu1 0.5000 0.5000 0.5000 [1 per cell]  12 Sm 3.86
Mn1 0.0000 0.0000 0.0000 [1 per cell]  6 Sm 2.73

=====

A relaxed HoPuInOs crystal. Source: Alexandria via LeMat-Bulk, functional GGA-PBE.

ΔE_f: -0.23 eV per atom
energy relative to the lowest polymorph listed for this composition: 0.000 eV per atom

Unit cell a=3.2937 b=3.2937 c=8.4750 alpha=90.00 beta=90.00 gamma=90.00
Last column: nearest neighbours and their distance in Å.
Space group P4mm (No. 99)
Unique sites:
Ho1 0.0000 0.0000 0.0000 [1 per cell]  4 Os 2.92
Pu1 0.0000 0.0000 0.5872 [1 per cell]  4 Os 2.91
In1 0.5000 0.5000 0.2914 [1 per cell]  4 In 3.29, 4 Ho 3.39, 4 Pu 3.42
Os1 0.5000 0.5000 0.7925 [1 per cell]  4 Pu 2.91, 4 Ho 2.92

=====

A relaxed SrSnHRh2 crystal. Source: Alexandria via LeMat-Bulk, functional GGA-PBE.

total energy: -0.1917 Ha/atom

Unit cell a=4.1298 b=11.7515 c=7.4092 alpha=90.00 beta=90.00 gamma=90.00
Last column: nearest neighbours and their distance in Å.
Space group Cmcm (No. 63)
Unique sites:
Sr1 0.0000 0.0538 0.2500 [4 per cell]  4 H 2.85
Sn1 0.0000 0.2209 0.7500 [4 per cell]  6 Rh 2.67-2.68
H1 0.0000 0.5000 0.0000 [4 per cell]  2 Rh 1.81
Rh1 0.0000 0.3487 0.0482 [8 per cell]  1 H 1.81

=====

A relaxed Sc4NiGe8 crystal. Source: Alexandria via LeMat-Bulk, functional GGA-PBE.

ΔE_f: -0.56 eV per atom

Unit cell a=3.8832 b=3.9328 c=15.3847 alpha=90.00 beta=90.00 gamma=90.00
Last column: nearest neighbours and their distance in Å.
Space group Pmm2 (No. 25)
Unique sites:
Sc1 0.0000 0.0000 0.0000 [1 per cell]  10 Ge 2.82-2.97
Sc2 0.0000 0.5000 0.4877 [1 per cell]  10 Ge 2.85-3.17
Sc3 0.5000 0.0000 0.7892 [1 per cell]  8 Ge 2.94-3.22, 4 Ni 3.03
Sc4 0.5000 0.5000 0.2876 [1 per cell]  10 Ge 2.83-3.05
Ni1 0.0000 0.5000 0.7079 [1 per cell]  5 Ge 2.27-2.34
Ge1 0.0000 0.0000 0.3261 [1 per cell]  2 Ge 2.60, 4 Sc 2.83
Ge2 0.0000 0.0000 0.6251 [1 per cell]  2 Ni 2.34
Ge3 0.0000 0.5000 0.1423 [1 per cell]  4 Ge 2.76, 4 Sc 2.94-2.96
Ge4 0.0000 0.5000 0.8554 [1 per cell]  1 Ni 2.27
Ge5 0.5000 0.0000 0.1465 [1 per cell]  4 Ge 2.76, 4 Sc 2.93-2.97
Ge6 0.5000 0.0000 0.4388 [1 per cell]  2 Ge 2.60, 4 Sc 2.86
Ge7 0.5000 0.5000 0.6235 [1 per cell]  2 Ni 2.34
Ge8 0.5000 0.5000 0.9636 [1 per cell]  2 Ge 2.56, 4 Sc 2.82

=====

A relaxed TiFe3Ni crystal. Source: Alexandria via LeMat-Bulk, functional GGA-PBE.

ΔE_f: 1.27 eV per atom
energy relative to the lowest polymorph listed for this composition: 0.476 eV per atom

Unit cell a=4.2414 b=4.2414 c=4.2414 alpha=90.00 beta=90.00 gamma=90.00
Last column: nearest neighbours and their distance in Å.
Space group Pm-3m (No. 221)
Unique sites:
Ti1 0.0000 0.0000 0.0000 [1 per cell]  6 Fe 2.12
Fe1 0.0000 0.0000 0.5000 [3 per cell]  2 Ti 2.12
Ni1 0.5000 0.5000 0.5000 [1 per cell]  12 Fe 3.00

=====

A relaxed La8Pm3Pu crystal. Source: Alexandria via LeMat-Bulk, functional GGA-PBE.

ΔE_f: 0.43 eV per atom

Unit cell a=8.8403 b=8.8403 c=11.7489 alpha=90.00 beta=90.00 gamma=90.00
Last column: nearest neighbours and their distance in Å.
Space group I-42m (No. 121)
Unique sites:
La1 0.1211 0.1211 0.2364 [8 per cell]  3 La 3.03-3.38, 1 Pu 3.16
La2 0.2313 0.2313 0.9774 [8 per cell]  1 Pu 2.90
Pm1 0.0000 0.0000 0.5000 [2 per cell]  8 La 3.37-3.45
Pm2 0.0000 0.5000 0.2500 [4 per cell]  4 La 3.52
Pu1 0.0000 0.0000 0.0000 [2 per cell]  8 La 2.90-3.16

=====

A relaxed Nb2CrBiRu crystal. Source: Alexandria via LeMat-Bulk, functional GGA-PBE.

ΔE_f: 0.87 eV per atom

Unit cell a=4.8405 b=4.8405 c=4.7565 alpha=90.00 beta=90.00 gamma=90.00
Last column: nearest neighbours and their distance in Å.
Space group P4/mmm (No. 123)
Unique sites:
Nb1 0.0000 0.5000 0.0000 [2 per cell]  2 Ru 2.42
Cr1 0.0000 0.0000 0.5000 [1 per cell]  2 Ru 2.38
Bi1 0.5000 0.5000 0.5000 [1 per cell]  8 Nb 3.39, 4 Cr 3.42
Ru1 0.0000 0.0000 0.0000 [1 per cell]  2 Cr 2.38, 4 Nb 2.42

=====

A relaxed Nd5Dy2ErSc crystal. Source: Alexandria via LeMat-Bulk, functional GGA-PBE.

ΔE_f: 0.12 eV per atom

Unit cell a=5.3741 b=21.8930 c=10.2377 alpha=90.00 beta=90.00 gamma=90.00
Last column: nearest neighbours and their distance in Å.
Space group Cmc2_1 (No. 36)
Unique sites:
Nd1 0.0000 0.0001 0.0000 [4 per cell]  2 Er 3.39, 4 Dy 3.69, 6 Nd 3.71-3.78
Nd2 0.0000 0.1272 0.2499 [4 per cell]  1 Sc 3.51, 4 Dy 3.73, 6 Nd 3.78-3.86
Nd3 0.0000 0.2212 0.5617 [4 per cell]  2 Nd 3.23, 1 Er 3.25, 3 Sc 3.31-3.51, 2 Dy 3.60
Nd4 0.0000 0.2215 0.9374 [4 per cell]  2 Nd 3.23, 1 Er 3.25, 3 Sc 3.31-3.51, 2 Dy 3.60
Nd5 0.0000 0.5003 0.2499 [4 per cell]  2 Er 3.49, 4 Dy 3.58-3.61, 6 Nd 3.71-3.86
Dy1 0.0000 0.3844 0.4979 [4 per cell]  1 Sc 3.31, 7 Nd 3.59-3.69
Dy2 0.0000 0.3847 0.0020 [4 per cell]  1 Sc 3.31, 7 Nd 3.58-3.69
Er1 0.0000 0.1017 0.7499 [4 per cell]  6 Nd 3.25-3.49, 2 Sc 3.62
Sc1 0.0000 0.2875 0.2496 [4 per cell]  2 Dy 3.31, 7 Nd 3.31-3.51, 2 Er 3.62

=====

A relaxed Ac2HgPd5Pt2 crystal. Source: Alexandria via LeMat-Bulk, functional GGA-PBE.

ΔE_f: -0.67 eV per atom

Unit cell a=9.8829 b=9.8829 c=4.2235 alpha=90.00 beta=90.00 gamma=90.00
Last column: nearest neighbours and their distance in Å.
Space group P4/mbm (No. 127)
Unique sites:
Ac1 0.1734 0.3266 0.0000 [4 per cell]  3 Pt 2.83-2.98
Hg1 0.0000 0.0000 0.0000 [2 per cell]  8 Pd 2.97
Pd1 0.0000 0.5000 0.5000 [2 per cell]  4 Pt 2.73, 4 Pd 3.01
Pd2 0.0636 0.7980 0.5000 [8 per cell]  2 Pt 2.79, 3 Pd 2.96-3.01, 2 Hg 2.97
Pt1 0.1240 0.6240 0.0000 [4 per cell]  6 Pd 2.73-2.79, 3 Ac 2.83-2.98

=====

A relaxed NaPmPb crystal. Source: Alexandria via LeMat-Bulk, functional GGA-PBE.

ΔE_f: -0.23 eV per atom
energy relative to the lowest polymorph listed for this composition: 0.173 eV per atom

Unit cell a=5.2806 b=5.2806 c=3.6261 alpha=90.00 beta=90.00 gamma=120.00
Last column: nearest neighbours and their distance in Å.
Space group P3m1 (No. 156)
Unique sites:
Na1 0.0000 0.0000 0.0000 [1 per cell]  3 Pb 3.08
Pm1 0.6667 0.3333 0.5412 [1 per cell]  6 Pb 3.41-3.70, 6 Na 3.47-3.63, 2 Pm 3.63
Pb1 0.3333 0.6667 0.1210 [1 per cell]  3 Na 3.08, 3 Pm 3.41

=====

A relaxed Th4BiSbAs2 crystal. Source: Alexandria via LeMat-Bulk, functional GGA-PBE.

raw formation energy: -1072.9 meV/atom

Unit cell a=7.5858 b=4.3671 c=7.7073 alpha=90.00 beta=109.07 gamma=90.00
Last column: nearest neighbours and their distance in Å.
Space group P2/m (No. 10)
Unique sites:
Th1 0.2359 0.0000 0.2187 [2 per cell]  3 As 2.97-3.01, 1 Sb 3.23, 2 Bi 3.26
Th2 0.2559 0.5000 0.7782 [2 per cell]  3 As 2.98-3.01, 2 Sb 3.23, 1 Bi 3.26
Bi1 0.5000 0.5000 0.5000 [1 per cell]  6 Th 3.26
Sb1 0.0000 0.0000 0.5000 [1 per cell]  6 Th 3.23
As1 0.0000 0.5000 0.0000 [1 per cell]  6 Th 2.97-2.98
As2 0.5000 0.0000 0.0000 [1 per cell]  6 Th 3.01

=====

A relaxed CdHg2Bi crystal. Source: Alexandria via LeMat-Bulk, functional GGA-PBE.

ΔE_f: 0.08 eV per atom

Unit cell a=3.8627 b=3.8627 c=7.0526 alpha=90.00 beta=90.00 gamma=90.00
Last column: nearest neighbours and their distance in Å.
Space group P4/mmm (No. 123)
Unique sites:
Cd1 0.0000 0.0000 0.0000 [1 per cell]  8 Hg 3.17, 2 Bi 3.53
Hg1 0.5000 0.5000 0.2293 [2 per cell]  4 Cd 3.17, 1 Hg 3.23, 4 Bi 3.33
Bi1 0.0000 0.0000 0.5000 [1 per cell]  8 Hg 3.33, 2 Cd 3.53

=====

A relaxed CsTlC crystal. Source: Alexandria via LeMat-Bulk, functional GGA-PBE.

ΔE_f: 0.38 eV per atom

Unit cell a=4.9356 b=5.5204 c=8.9682 alpha=85.69 beta=74.08 gamma=89.98
Last column: nearest neighbours and their distance in Å.
Space group P1 (No. 1)
Unique sites:
Cs1 0.0000 0.0000 0.0000 [1 per cell]  2 C 3.20
Cs2 0.3008 0.4357 0.3962 [1 per cell]  2 C 3.20
Tl1 0.5871 0.4543 0.8250 [1 per cell]  2 C 2.54
Tl2 0.7145 0.9814 0.5695 [1 per cell]  2 C 2.54
C1 0.0217 0.7187 0.6979 [1 per cell]  1 C 1.27
C2 0.2794 0.7187 0.6979 [1 per cell]  1 C 1.27

=====

A relaxed Zr2VCuH crystal. Source: Alexandria via LeMat-Bulk, functional GGA-PBE.

total energy: -0.2501 Ha/atom

Unit cell a=4.5192 b=4.5192 c=3.6167 alpha=90.00 beta=90.00 gamma=90.00
Last column: nearest neighbours and their distance in Å.
Space group P4/mmm (No. 123)
Unique sites:
Zr1 0.0000 0.5000 0.0000 [2 per cell]  2 H 2.26
V1 0.0000 0.0000 0.5000 [1 per cell]  2 H 1.81
Cu1 0.5000 0.5000 0.5000 [1 per cell]  8 Zr 2.89, 4 V 3.20
H1 0.0000 0.0000 0.0000 [1 per cell]  2 V 1.81

=====

A relaxed NbCr3Pt crystal. Source: Alexandria via LeMat-Bulk, functional GGA-PBE.

ΔE_f: 1.62 eV per atom

Unit cell a=4.4998 b=4.4998 c=4.4998 alpha=90.00 beta=90.00 gamma=90.00
Last column: nearest neighbours and their distance in Å.
Space group Pm-3m (No. 221)
Unique sites:
Nb1 0.0000 0.0000 0.0000 [1 per cell]  12 Cr 3.18
Cr1 0.0000 0.5000 0.5000 [3 per cell]  2 Pt 2.25
Pt1 0.5000 0.5000 0.5000 [1 per cell]  6 Cr 2.25

=====

A relaxed Dy4TlAu crystal. Source: Alexandria via LeMat-Bulk, functional GGA-PBE.

ΔE_f: -0.40 eV per atom
energy relative to the lowest polymorph listed for this composition: 0.000 eV per atom

Unit cell a=5.4315 b=6.9573 c=8.8261 alpha=90.00 beta=96.83 gamma=90.00
Last column: nearest neighbours and their distance in Å.
Space group P2_1/m (No. 11)
Unique sites:
Dy1 0.1796 0.2500 0.0655 [2 per cell]  2 Au 2.85-3.01, 1 Tl 3.13
Dy2 0.2225 0.7500 0.3849 [2 per cell]  1 Au 2.99, 2 Tl 3.18-3.21
Dy3 0.3049 0.5080 0.7499 [4 per cell]  2 Au 3.03-3.21, 1 Dy 3.37, 1 Tl 3.38
Tl1 0.2364 0.2500 0.4231 [2 per cell]  9 Dy 3.13-3.50
Au1 0.3286 0.7500 0.0605 [2 per cell]  5 Dy 2.85-3.03

=====

The following M_tot values (in μB/cell) correspond, in order, to the records above: 0.00; 3.78; 0.00; 5.83; 7.97; 4.63; 0.00; 0.00; 5.96; 10.90; 2.74; 0.00; 0.00; 0.00; 0.00; 0.00; 0.00; 1.02; 0.00; 0.00.